{
  "formula": "Rb2FePdF6",
  "functional": "PBE with a Hubbard U",
  "state": "relaxed",
  "cell": [[6.352, 0.000, 0.000], [0.000, 6.352, 0.000], [3.176, 3.176, 4.170]],
  "species": ["Rb", "Rb", "F", "F", "F", "F", "F", "F", "Fe", "Pd"],
  "frac_coords": [[0.750, 0.250, 0.500], [0.250, 0.750, 0.500], [0.739, 0.739, 0.522], [0.261, 0.261, 0.478], [0.718, 0.718, 0.000], [0.282, 0.718, 0.000], [0.282, 0.282, 0.000], [0.718, 0.282, 0.000], [0.500, 0.500, 0.000], [0.000, 0.000, 0.000]],
  "magmom_total_mub_per_cell": 4.0,
  "final_energy_ev_per_cell": -46.4,
  "spacegroup": "I4/mmm, No. 139",
  "volume_a3_per_atom": 16.82
}